Material: SrCd3Pb
Method: DFT, PBEsol
State: optimized geometry

## Properties
**DOS(E_F)**: 0.77 states/eV per atom
**Uncorrected energy**: -1.655 eV/atom
**Density**: 5.92 Mg/m³

Lattice parameters (Å, degrees): 5.6163 5.6163 5.6163 90.00 90.00 90.00
Last column: nearest neighbours and their distance in Å.
Space group Pm-3m (No. 221)
Inequivalent atoms, fractional coordinates:
Sr  0.0000  0.0000  0.0000 x1  12 Cd 3.97
Cd  0.0000  0.5000  0.5000 x3  2 Pb 2.81
Pb  0.5000  0.5000  0.5000 x1  6 Cd 2.81